Ca2FeNi | Alexandria via LeMat-Bulk | meta-GGA SCAN | PBEsol geometry; ρ = 3.72 Mg/m³; DOS(E_F) = 0.648 states/eV per atom; polymorph energy (0 for the lowest one) = 0.000 eV per atom; spin magnetization = 0.951 μB per atom; total DFT energy (no corrections) = -13.220 eV/atom; SG = P4mm, No. 99
1.0
3.2585 0.0000 0.0000
0.0000 3.2585 0.0000
0.0000 0.0000 8.1769
Ca Fe Ni
2 1 1
Cartesian
0.0000 0.0000 0.0000
1.6292 1.6292 3.2587
0.0000 0.0000 5.3917
1.6292 1.6292 6.0941